Compound: AgBiW2C
Source: the Alexandria database
Functional: PBE
Structure: relaxed

Lattice parameters (Å, degrees): 5.2529 4.4602 5.2529 90.00 90.00 90.00
Last column: magnetic moment on the atom in μB.
Fractional positions:
Ag 0.5000 0.5000 0.5000  0.04
C 0.0000 0.5000 0.0000  -0.34
Bi 0.0000 0.0000 0.0000  -0.04
W 0.0000 0.0000 0.5000  1.85
W 0.5000 0.0000 0.0000  1.73

## Properties
DOS at the Fermi energy: 7.3 states/eV/cell
Calculated total energy: -0.185 hartree per atom